[1]
DFT (PBE-GGA) results for an optimized crystal structure of Ta2InBr.

Values from the calculation:
ΔE_f (raw) = 0.9587 eV per atom
Space-group type = I4/mmm
DFT total energy = -6.070 eV per atom
Crystal system = tetragonal
E above lowest polymorph = 888.0 meV/atom

a = 5.4864 Å, b = 5.4864 Å, c = 5.4864 Å
α = 134.93°, β = 134.93°, γ = 65.63°
Positions (direct):
1 In 0.7500 0.2500 0.5000
2 Br 0.2500 0.7500 0.5000
3 Ta 0.0000 0.0000 0.0000
4 Ta 0.5000 0.5000 0.0000

[2]
DFT (PBE-GGA) results for an optimized crystal structure of Dy3TmNi.

Values from the calculation:
Space-group type = Pm-3m
DFT total energy = -4.822 eV per atom
Crystal system = cubic
E above lowest polymorph = 169.2 meV/atom

a = 5.2916 Å, b = 5.2916 Å, c = 5.2916 Å
α = 90.00°, β = 90.00°, γ = 90.00°
Positions (direct):
1 Ni 0.0000 0.0000 0.0000
2 Tm 0.5000 0.5000 0.5000
3 Dy 0.0000 0.5000 0.0000
4 Dy 0.0000 0.0000 0.5000
5 Dy 0.5000 0.0000 0.0000

| no. | density of states at the Fermi level (states/eV/cell) |
| --- | --- |
| 1 | 4.903 |
| 2 | 9.907 |